Entry from Alexandria: crystalline ZnP2Ru at its relaxed geometry (GGA-PBE).

a = 5.3352 Å, b = 5.3352 Å, c = 6.6297 Å
α = 66.27°, β = 66.27°, γ = 90.00°
Fractional coordinates of all 8 atoms:
P1 0.6511 0.1250 0.2500
P2 0.8750 0.9011 0.7500
P3 0.3750 0.3489 0.7500
P4 0.0989 0.6250 0.2500
Zn1 0.5000 0.5000 0.0000
Zn2 0.2500 0.7500 0.5000
Ru1 0.0000 0.0000 0.0000
Ru2 0.7500 0.2500 0.5000

## Properties
SG ... I-42d, No. 122
V ... 77.6 Å³/f.u.

***

Entry from Alexandria: crystalline Y2TaAs at its relaxed geometry (GGA-PBE).

a = 5.7775 Å, b = 5.7775 Å, c = 5.2418 Å
α = 72.90°, β = 72.90°, γ = 34.27°
Fractional coordinates of all 4 atoms:
Y1 0.7801 0.7801 0.6881
Y2 0.9805 0.9805 0.0396
As1 0.5317 0.5317 0.5227
Ta1 0.2077 0.2077 0.2495

## Properties
SG ... Cm, No. 8
V ... 93.8 Å³/f.u.

***

Entry from Alexandria: crystalline Ce2ScIn at its relaxed geometry (GGA-PBE).

a = 5.2453 Å, b = 6.2193 Å, c = 6.8754 Å
α = 116.94°, β = 90.00°, γ = 90.00°
Fractional coordinates of all 8 atoms:
Ce1 0.2500 0.7841 0.1098
Ce2 0.7500 0.6740 0.8898
Ce3 0.7500 0.2159 0.8902
Ce4 0.2500 0.3260 0.1102
Sc1 0.2500 0.3051 0.6112
Sc2 0.7500 0.6949 0.3888
In1 0.7500 0.1783 0.3560
In2 0.2500 0.8217 0.6440

## Properties
SG ... P2_1/m, No. 11
V ... 100.0 Å³/f.u.

***

Entry from Alexandria: crystalline Zn6IrAu2 at its relaxed geometry (GGA-PBE).

a = 4.9506 Å, b = 3.9206 Å, c = 8.2829 Å
α = 90.01°, β = 68.98°, γ = 66.81°
Fractional coordinates of all 9 atoms:
Zn1 0.9947 0.0019 0.1735
Zn2 0.6942 0.6526 0.7140
Zn3 0.6596 0.6704 0.4023
Zn4 0.3058 0.3474 0.2860
Zn5 0.3404 0.3296 0.5977
Zn6 0.0053 0.9981 0.8265
Ir1 0.0000 0.0000 0.5000
Au1 0.6554 0.6722 0.0732
Au2 0.3446 0.3278 0.9268

## Properties
SG ... P-1, No. 2
V ... 136.0 Å³/f.u.

***

Entry from Alexandria: crystalline Ca3GePt3 at its relaxed geometry (GGA-PBE).

a = 4.2596 Å, b = 5.7417 Å, c = 14.0321 Å
α = 85.71°, β = 81.27°, γ = 68.23°
Fractional coordinates of all 14 atoms:
Pt1 0.1425 0.2587 0.4562
Pt2 0.1140 0.8500 0.9220
Pt3 0.8860 0.1500 0.0780
Pt4 0.9487 0.8617 0.2409
Pt5 0.8575 0.7413 0.5438
Pt6 0.0513 0.1383 0.7591
Ca1 0.3952 0.2844 0.9251
Ca2 0.5202 0.3403 0.6193
Ca3 0.4798 0.6597 0.3807
Ca4 0.7482 0.7280 0.7757
Ca5 0.6048 0.7156 0.0749
Ca6 0.2518 0.2720 0.2243
Ge1 0.2344 0.9317 0.5994
Ge2 0.7656 0.0683 0.4006

## Properties
SG ... C2/m, No. 12
V ... 157.5 Å³/f.u.

***

Entry from Alexandria: crystalline TbYZnCd at its relaxed geometry (GGA-PBE).

a = 3.6141 Å, b = 3.6141 Å, c = 7.5560 Å
α = 90.00°, β = 90.00°, γ = 90.00°
Fractional coordinates of all 4 atoms:
Y1 0.5000 0.5000 0.5877
Cd1 0.0000 0.0000 0.8559
Tb1 0.5000 0.5000 0.1263
Zn1 0.0000 0.0000 0.3580

## Properties
SG ... P4mm, No. 99
V ... 98.7 Å³/f.u.

***

Entry from Alexandria: crystalline Pu3NiIr at its relaxed geometry (GGA-PBE).

a = 3.4855 Å, b = 6.8608 Å, c = 8.9276 Å
α = 84.92°, β = 76.19°, γ = 102.11°
Fractional coordinates of all 10 atoms:
Pu1 0.3145 0.6226 0.0707
Pu2 0.3608 0.2867 0.7634
Pu3 0.0367 0.9376 0.0612
Pu4 0.6833 0.8672 0.6580
Pu5 0.7297 0.5317 0.3508
Pu6 0.0074 0.2166 0.3602
Ni1 0.9355 0.5920 0.8457
Ni2 0.1079 0.5617 0.5760
Ir1 0.6689 0.2689 0.0686
Ir2 0.3752 0.8852 0.3530

## Properties
SG ... P-1, No. 2
V ... 100.3 Å³/f.u.

***

Entry from Alexandria: crystalline Pm2BeCd at its relaxed geometry (GGA-PBE).

a = 3.5884 Å, b = 3.5884 Å, c = 7.6240 Å
α = 90.00°, β = 90.00°, γ = 90.00°
Fractional coordinates of all 4 atoms:
Pm1 0.0000 0.0000 0.2180
Pm2 0.0000 0.0000 0.7820
Be1 0.5000 0.5000 0.0000
Cd1 0.5000 0.5000 0.5000

## Properties
SG ... P4/mmm, No. 123
V ... 98.2 Å³/f.u.

***

no.,ΔH_f (0 K) (eV/atom)
1,-0.09
2,-0.25
3,-0.26
4,-0.20
5,-0.90
6,-0.34
7,-0.14
8,-0.08